1.
## Tb2PaSb3 (GGA-PBE)

Data for an optimized crystal structure of Tb2PaSb3.

Lattice parameters (Å, degrees): 6.2083 13.1537 8.7774 90.00 90.01 90.00
Last column: nearest neighbours and their distance in Å.
Fractional coordinates of all 24 atoms:
Tb1 0.2491 0.2488 0.3758  6 Sb 3.09-3.12
Tb2 0.2491 0.2512 0.8758  6 Sb 3.09-3.12
Tb3 0.2504 0.5832 0.8765  6 Sb 3.09-3.11
Tb4 0.2504 0.9168 0.3765  6 Sb 3.09-3.11
Tb5 0.7496 0.0832 0.6235  6 Sb 3.09-3.11
Tb6 0.7496 0.4168 0.1235  6 Sb 3.09-3.11
Tb7 0.7509 0.7488 0.1242  6 Sb 3.09-3.12
Tb8 0.7509 0.7512 0.6242  6 Sb 3.09-3.12
Pa1 0.2506 0.5834 0.3759  6 Sb 3.08-3.10
Pa2 0.2506 0.9166 0.8759  6 Sb 3.08-3.10
Pa3 0.7494 0.0834 0.1241  6 Sb 3.08-3.10
Pa4 0.7494 0.4166 0.6241  6 Sb 3.08-3.10
Sb1 0.2494 0.0834 0.1254  3 Tb 3.09-3.11, 3 Pa 3.10
Sb2 0.2494 0.4166 0.6254  3 Tb 3.09-3.11, 3 Pa 3.10
Sb3 0.2496 0.0819 0.6280  1 Pa 3.08, 5 Tb 3.10-3.12
Sb4 0.2496 0.4181 0.1280  1 Pa 3.08, 5 Tb 3.10-3.12
Sb5 0.2509 0.7497 0.1256  4 Tb 3.09-3.11, 2 Pa 3.10
Sb6 0.2509 0.7503 0.6256  4 Tb 3.09-3.11, 2 Pa 3.10
Sb7 0.7491 0.2497 0.3744  4 Tb 3.09-3.11, 2 Pa 3.10
Sb8 0.7491 0.2503 0.8744  4 Tb 3.09-3.11, 2 Pa 3.10
Sb9 0.7504 0.5819 0.8720  1 Pa 3.08, 5 Tb 3.10-3.12
Sb10 0.7504 0.9181 0.3720  1 Pa 3.08, 5 Tb 3.10-3.12
Sb11 0.7506 0.5834 0.3746  3 Tb 3.09-3.11, 3 Pa 3.10
Sb12 0.7506 0.9166 0.8746  3 Tb 3.09-3.11, 3 Pa 3.10

theoretical density: 8.47 g/cm3
energy relative to the elements, uncorrected: -0.907 eV per atom
space group: No. 14

2.
## TbPaSb2 (GGA-PBE)

Data for an optimized crystal structure of TbPaSb2.

Lattice parameters (Å, degrees): 9.7997 9.7997 7.5838 104.93 104.93 126.81
Last column: nearest neighbours and their distance in Å.
Fractional coordinates of all 16 atoms:
Tb1 0.0621 0.9379 0.7500  6 Sb 3.10-3.11
Tb2 0.1872 0.8128 0.2500  6 Sb 3.10-3.11
Tb3 0.8128 0.1872 0.7500  6 Sb 3.10-3.11
Tb4 0.9379 0.0621 0.2500  6 Sb 3.10-3.11
Pa1 0.3122 0.6878 0.7500  6 Sb 3.09-3.10
Pa2 0.4371 0.5629 0.2500  6 Sb 3.10
Pa3 0.5629 0.4371 0.7500  6 Sb 3.10
Pa4 0.6878 0.3122 0.2500  6 Sb 3.09-3.10
Sb1 0.0625 0.4377 0.2507  3 Pa 3.09-3.10, 3 Tb 3.10-3.11
Sb2 0.1881 0.3132 0.7507  3 Pa 3.10, 3 Tb 3.10-3.11
Sb3 0.3132 0.1881 0.2507  3 Pa 3.10, 3 Tb 3.10-3.11
Sb4 0.4377 0.0625 0.7507  3 Pa 3.09-3.10, 3 Tb 3.10-3.11
Sb5 0.5623 0.9375 0.2493  3 Pa 3.09-3.10, 3 Tb 3.10-3.11
Sb6 0.6868 0.8119 0.7493  3 Pa 3.10, 3 Tb 3.10-3.11
Sb7 0.8119 0.6868 0.2493  3 Pa 3.10, 3 Tb 3.10-3.11
Sb8 0.9375 0.5623 0.7493  3 Pa 3.09-3.10, 3 Tb 3.10-3.11

theoretical density: 8.82 g/cm3
energy relative to the elements, uncorrected: -0.781 eV per atom
space group: No. 15

3.
## TbPaSbTe (GGA-PBE)

Data for an optimized crystal structure of TbPaSbTe.

Lattice parameters (Å, degrees): 7.5202 7.5202 7.5202 90.00 90.00 90.00
Last column: nearest neighbours and their distance in Å.
Fractional coordinates of all 16 atoms:
Tb1 0.0000 0.0000 0.0000  4 Sb 3.26, 4 Te 3.26
Tb2 0.0000 0.5000 0.5000  4 Sb 3.26, 4 Te 3.26
Tb3 0.5000 0.0000 0.5000  4 Sb 3.26, 4 Te 3.26
Tb4 0.5000 0.5000 0.0000  4 Sb 3.26, 4 Te 3.26
Pa1 0.0000 0.0000 0.5000  4 Te 3.26, 4 Sb 3.26
Pa2 0.0000 0.5000 0.0000  4 Te 3.26, 4 Sb 3.26
Pa3 0.5000 0.0000 0.0000  4 Te 3.26, 4 Sb 3.26
Pa4 0.5000 0.5000 0.5000  4 Te 3.26, 4 Sb 3.26
Sb1 0.2500 0.2500 0.7500  4 Tb 3.26, 4 Pa 3.26
Sb2 0.2500 0.7500 0.2500  4 Tb 3.26, 4 Pa 3.26
Sb3 0.7500 0.2500 0.2500  4 Tb 3.26, 4 Pa 3.26
Sb4 0.7500 0.7500 0.7500  4 Tb 3.26, 4 Pa 3.26
Te1 0.2500 0.2500 0.2500  4 Tb 3.26, 4 Pa 3.26
Te2 0.2500 0.7500 0.7500  4 Tb 3.26, 4 Pa 3.26
Te3 0.7500 0.2500 0.7500  4 Tb 3.26, 4 Pa 3.26
Te4 0.7500 0.7500 0.2500  4 Tb 3.26, 4 Pa 3.26

theoretical density: 9.98 g/cm3
energy relative to the elements, uncorrected: -0.758 eV per atom
space group: No. 216

4.
## TbTmPa2Sb4 (GGA-PBE)

Data for an optimized crystal structure of TbTmPa2Sb4.

Lattice parameters (Å, degrees): 7.5511 4.3624 7.6050 90.00 109.35 90.00
Last column: nearest neighbours and their distance in Å.
Fractional coordinates of all 8 atoms:
Tb1 0.0000 0.0000 0.0000  6 Sb 3.09
Tm1 0.5000 0.5000 0.0000  6 Sb 3.07
Pa1 0.0000 0.5000 0.5000  6 Sb 3.11
Pa2 0.5000 0.0000 0.5000  6 Sb 3.09
Sb1 0.2514 0.5000 0.2477  1 Tm 3.07, 2 Tb 3.09, 3 Pa 3.09-3.11
Sb2 0.2535 0.0000 0.7540  2 Tm 3.07, 1 Tb 3.09, 3 Pa 3.09-3.11
Sb3 0.7465 0.0000 0.2460  2 Tm 3.07, 1 Tb 3.09, 3 Pa 3.09-3.11
Sb4 0.7486 0.5000 0.7523  1 Tm 3.07, 2 Tb 3.09, 3 Pa 3.09-3.11

theoretical density: 8.97 g/cm3
energy relative to the elements, uncorrected: -0.755 eV per atom
space group: No. 10

5.
## TbTm2PaSb4 (GGA-PBE)

Data for an optimized crystal structure of TbTm2PaSb4.

Lattice parameters (Å, degrees): 7.5397 4.3563 7.5593 90.00 109.35 90.00
Last column: nearest neighbours and their distance in Å.
Fractional coordinates of all 8 atoms:
Tb1 0.0000 0.0000 0.0000  6 Sb 3.10
Tm1 0.5000 0.0000 0.5000  6 Sb 3.06
Tm2 0.5000 0.5000 0.0000  6 Sb 3.06-3.07
Pa1 0.0000 0.5000 0.5000  6 Sb 3.09-3.10
Sb1 0.2538 0.5000 0.2526  3 Tm 3.06-3.07, 1 Pa 3.09, 2 Tb 3.10
Sb2 0.2546 0.0000 0.7515  3 Tm 3.06, 1 Tb 3.10, 2 Pa 3.10
Sb3 0.7454 0.0000 0.2485  3 Tm 3.06, 1 Tb 3.10, 2 Pa 3.10
Sb4 0.7462 0.5000 0.7474  3 Tm 3.06-3.07, 1 Pa 3.09, 2 Tb 3.10

theoretical density: 8.61 g/cm3
energy relative to the elements, uncorrected: -0.927 eV per atom
space group: No. 10

6.
## Tb2TmPaSb4 (GGA-PBE)

Data for an optimized crystal structure of Tb2TmPaSb4.

Lattice parameters (Å, degrees): 7.5692 4.3732 7.5890 90.00 109.36 90.00
Last column: nearest neighbours and their distance in Å.
Fractional coordinates of all 8 atoms:
Tb1 0.0000 0.0000 0.0000  6 Sb 3.10-3.11
Tb2 0.5000 0.5000 0.0000  6 Sb 3.11-3.12
Tm1 0.0000 0.5000 0.5000  6 Sb 3.07-3.08
Pa1 0.5000 0.0000 0.5000  6 Sb 3.08-3.09
Sb1 0.2479 0.0000 0.7457  2 Tm 3.08, 1 Pa 3.08, 3 Tb 3.11-3.12
Sb2 0.2488 0.5000 0.2519  1 Tm 3.07, 2 Pa 3.09, 3 Tb 3.10-3.11
Sb3 0.7512 0.5000 0.7481  1 Tm 3.07, 2 Pa 3.09, 3 Tb 3.10-3.11
Sb4 0.7521 0.0000 0.2543  2 Tm 3.08, 1 Pa 3.08, 3 Tb 3.11-3.12

theoretical density: 8.44 g/cm3
energy relative to the elements, uncorrected: -0.949 eV per atom
space group: No. 10

7.
## PaTc2Sb (GGA-PBE)

Data for an optimized crystal structure of PaTc2Sb.

Lattice parameters (Å, degrees): 4.5604 4.5604 3.5960 90.00 90.00 90.00
Last column: nearest neighbours and their distance in Å.
Fractional coordinates of all 4 atoms:
Pa1 0.0000 0.0000 0.0000  8 Tc 2.90, 4 Sb 3.22
Tc1 0.0000 0.5000 0.5000  4 Sb 2.90, 4 Pa 2.90, 4 Tc 3.22
Tc2 0.5000 0.0000 0.5000  4 Sb 2.90, 4 Pa 2.90, 4 Tc 3.22
Sb1 0.5000 0.5000 0.0000  8 Tc 2.90, 4 Pa 3.22

theoretical density: 12.19 g/cm3
energy relative to the elements, uncorrected: -0.286 eV per atom
space group: No. 123

8.
## Pa4Tc3Sb8 (GGA-PBE)

Data for an optimized crystal structure of Pa4Tc3Sb8.

Lattice parameters (Å, degrees): 4.4775 4.4775 18.2003 90.00 90.00 90.00
Last column: nearest neighbours and their distance in Å.
Fractional coordinates of all 15 atoms:
Pa1 0.0000 0.5000 0.1099  2 Tc 3.00, 8 Sb 3.22-3.34
Pa2 0.0000 0.5000 0.6132  4 Tc 3.04, 6 Sb 3.21-3.40
Pa3 0.5000 0.0000 0.3868  4 Tc 3.04, 6 Sb 3.21-3.40
Pa4 0.5000 0.0000 0.8901  2 Tc 3.00, 8 Sb 3.22-3.34
Tc1 0.0000 0.0000 0.0000  4 Sb 2.64
Tc2 0.0000 0.0000 0.5000  4 Sb 2.72, 4 Pa 3.04
Tc3 0.5000 0.5000 0.5000  4 Sb 2.72, 4 Pa 3.04
Sb1 0.0000 0.0000 0.2461  4 Sb 3.17, 4 Pa 3.34-3.40
Sb2 0.0000 0.0000 0.7539  4 Sb 3.17, 4 Pa 3.34-3.40
Sb3 0.0000 0.5000 0.4153  4 Tc 2.72
Sb4 0.0000 0.5000 0.9227  2 Tc 2.64
Sb5 0.5000 0.0000 0.0773  2 Tc 2.64
Sb6 0.5000 0.0000 0.5847  4 Tc 2.72
Sb7 0.5000 0.5000 0.2452  4 Sb 3.17, 4 Pa 3.33-3.41
Sb8 0.5000 0.5000 0.7548  4 Sb 3.17, 4 Pa 3.33-3.41

theoretical density: 9.98 g/cm3
energy relative to the elements, uncorrected: -0.397 eV per atom
space group: No. 115

9.
## PaTcSb2 (GGA-PBE)

Data for an optimized crystal structure of PaTcSb2.

Lattice parameters (Å, degrees): 3.3185 3.3185 7.7597 90.00 90.00 90.00
Last column: nearest neighbours and their distance in Å.
Fractional coordinates of all 4 atoms:
Pa1 0.0000 0.0000 0.0000  8 Sb 3.26, 4 Pa 3.32
Tc1 0.0000 0.0000 0.5000  8 Sb 2.85
Sb1 0.5000 0.5000 0.2921  4 Tc 2.85
Sb2 0.5000 0.5000 0.7079  4 Tc 2.85

theoretical density: 11.13 g/cm3
energy relative to the elements, uncorrected: -0.032 eV per atom
space group: No. 123

10.
## Pa2Tc2Sb (GGA-PBE)

Data for an optimized crystal structure of Pa2Tc2Sb.

Lattice parameters (Å, degrees): 4.6192 5.9832 7.5811 90.00 90.00 90.00
Last column: nearest neighbours and their distance in Å.
Fractional coordinates of all 10 atoms:
Pa1 0.0000 0.0000 0.1893  6 Tc 2.79-3.10, 1 Pa 2.87
Pa2 0.0000 0.0000 0.8107  6 Tc 2.79-3.10, 1 Pa 2.87
Pa3 0.5000 0.5000 0.3107  6 Tc 2.79-3.10, 1 Pa 2.87
Pa4 0.5000 0.5000 0.6893  6 Tc 2.79-3.10, 1 Pa 2.87
Tc1 0.0000 0.2506 0.5000  2 Sb 2.75, 2 Pa 2.79, 2 Tc 2.98-3.00
Tc2 0.0000 0.7494 0.5000  2 Sb 2.75, 2 Pa 2.79, 2 Tc 2.98-3.00
Tc3 0.5000 0.2494 0.0000  2 Sb 2.75, 2 Pa 2.79, 2 Tc 2.98-3.00
Tc4 0.5000 0.7506 0.0000  2 Sb 2.75, 2 Pa 2.79, 2 Tc 2.98-3.00
Sb1 0.0000 0.5000 0.0000  4 Tc 2.75
Sb2 0.5000 0.0000 0.5000  4 Tc 2.75

theoretical density: 12.36 g/cm3
energy relative to the elements, uncorrected: -0.328 eV per atom
space group: No. 71

11.
## PaTcSb2 (GGA-PBE)

Data for an optimized crystal structure of PaTcSb2.

Lattice parameters (Å, degrees): 4.4976 4.4976 18.1512 90.00 90.00 90.00
Last column: nearest neighbours and their distance in Å.
Fractional coordinates of all 16 atoms:
Pa1 0.0000 0.0000 0.1352  4 Tc 3.07, 8 Sb 3.23-3.33
Pa2 0.0000 0.0000 0.8648  4 Tc 3.07, 8 Sb 3.23-3.33
Pa3 0.5000 0.5000 0.3648  4 Tc 3.07, 8 Sb 3.23-3.33
Pa4 0.5000 0.5000 0.6352  4 Tc 3.07, 8 Sb 3.23-3.33
Tc1 0.0000 0.5000 0.2500  4 Sb 2.71
Tc2 0.0000 0.5000 0.7500  4 Sb 2.71
Tc3 0.5000 0.0000 0.2500  4 Sb 2.71
Tc4 0.5000 0.0000 0.7500  4 Sb 2.71
Sb1 0.0000 0.0000 0.3329  4 Tc 2.71
Sb2 0.0000 0.0000 0.6671  4 Tc 2.71
Sb3 0.0000 0.5000 0.0000  4 Sb 3.18, 4 Pa 3.33
Sb4 0.0000 0.5000 0.5000  4 Sb 3.18, 4 Pa 3.33
Sb5 0.5000 0.0000 0.0000  4 Sb 3.18, 4 Pa 3.33
Sb6 0.5000 0.0000 0.5000  4 Sb 3.18, 4 Pa 3.33
Sb7 0.5000 0.5000 0.1671  4 Tc 2.71
Sb8 0.5000 0.5000 0.8329  4 Tc 2.71

theoretical density: 10.36 g/cm3
energy relative to the elements, uncorrected: -0.416 eV per atom
space group: No. 139

12.
## PaTc4Sb (GGA-PBE)

Data for an optimized crystal structure of PaTc4Sb.

Lattice parameters (Å, degrees): 5.3484 5.3484 5.3484 60.00 60.00 60.00
Last column: nearest neighbours and their distance in Å.
Fractional coordinates of all 6 atoms:
Pa1 0.0000 0.0000 0.0000  12 Tc 3.14, 4 Sb 3.28
Tc1 0.3765 0.3765 0.3765  6 Tc 2.64-2.71
Tc2 0.3765 0.3765 0.8705  6 Tc 2.64-2.71
Tc3 0.3765 0.8705 0.3765  6 Tc 2.64-2.71
Tc4 0.8705 0.3765 0.3765  6 Tc 2.64-2.71
Sb1 0.7500 0.7500 0.7500  12 Tc 3.13, 4 Pa 3.28

theoretical density: 11.43 g/cm3
energy relative to the elements, uncorrected: 0.080 eV per atom
space group: No. 216

Number 1: density of states at the Fermi level 26.0 states/eV per cell. Number 2: density of states at the Fermi level 23.6 states/eV per cell. Number 3: density of states at the Fermi level 19.4 states/eV per cell. Number 4: density of states at the Fermi level 12.3 states/eV per cell. Number 5: density of states at the Fermi level 6.5 states/eV per cell. Number 6: density of states at the Fermi level 6.4 states/eV per cell. Number 7: density of states at the Fermi level 1.4 states/eV per cell. Number 8: density of states at the Fermi level 19.1 states/eV per cell. Number 9: density of states at the Fermi level 5.5 states/eV per cell. Number 10: density of states at the Fermi level 9.8 states/eV per cell. Number 11: density of states at the Fermi level 14.3 states/eV per cell. Number 12: density of states at the Fermi level 10.1 states/eV per cell.